Density functional theory data (PBE) for a geometry-optimized URu5 structure.

Computed properties:
**Energy of formation from the pure elements**: -97 meV per atom
**Total moment**: 0.000 μB per atom
**Density of states at the Fermi level**: 7.86 states/eV per cell
**Crystal system**: orthorhombic
**VASP energy**: -58.2 eV/f.u.

Cell: 3.9345 3.9454 6.2664 Å, 108.35 90.00 90.00°
Element x y z (fractional)
Ru 0.0000 0.6764 0.3527
Ru 0.5000 0.5000 0.0000
Ru 0.5000 0.1729 0.3458
Ru 0.0000 0.3236 0.6473
Ru 0.5000 0.8271 0.6542
U 0.0000 0.0000 0.0000